! KLaZn3, relaxed, DFT PBE-GGA; values from VASP
&SYSTEM
  ibrav = 0, nat = 5, ntyp = 3
/
ATOMIC_SPECIES
Zn 65.41 Zn.upf
La 138.91 La.upf
K 39.10 K.upf
CELL_PARAMETERS angstrom
5.348 0.000 0.000
0.000 5.348 0.000
0.000 0.000 5.348
ATOMIC_POSITIONS angstrom
Zn 2.674 0.000 0.000
Zn 0.000 2.674 0.000
Zn 0.000 0.000 2.674
La 2.674 2.674 2.674
K 0.000 0.000 0.000
! Calculated density = 4.062 Mg/m³
! Space-group type = Pm-3m
! M_tot = 0.00 μB per formula unit
! Total DFT energy (no corrections) = -1.297 eV per atom
! Offset from the most stable computed form = 0.200 eV per atom

! KLaZn3, relaxed, DFT PBE-GGA; values from VASP
&SYSTEM
  ibrav = 0, nat = 5, ntyp = 3
/
ATOMIC_SPECIES
K 39.10 K.upf
La 138.91 La.upf
Zn 65.41 Zn.upf
CELL_PARAMETERS angstrom
-0.401 2.353 5.376
-4.869 -3.142 1.012
3.276 -4.381 2.162
ATOMIC_POSITIONS angstrom
K -0.997 -2.585 4.275
La 0.000 0.000 0.000
Zn 1.638 -2.190 1.081
Zn -0.201 1.177 2.688
Zn -2.434 -1.571 0.506
! Calculated density = 3.053 Mg/m³
! Space-group type = Pm-3m
! M_tot = 0.00 μB per formula unit
! Total DFT energy (no corrections) = -1.497 eV per atom
! Offset from the most stable computed form = 0.000 eV per atom

! KLa3Zn, relaxed, DFT PBE-GGA; values from VASP
&SYSTEM
  ibrav = 0, nat = 5, ntyp = 3
/
ATOMIC_SPECIES
La 138.91 La.upf
K 39.10 K.upf
Zn 65.41 Zn.upf
CELL_PARAMETERS angstrom
-4.598 -0.099 -3.782
3.151 -3.394 -3.742
-2.094 -4.891 2.674
ATOMIC_POSITIONS angstrom
La 1.576 -1.697 -1.871
La -2.299 -0.050 -1.891
La -1.047 -2.445 1.337
K -1.770 -4.192 -2.425
Zn 0.000 0.000 0.000
! Calculated density = 4.101 Mg/m³
! Space-group type = Pm-3m
! M_tot = 0.00 μB per formula unit
! Total DFT energy (no corrections) = -3.152 eV per atom
! Offset from the most stable computed form = 0.000 eV per atom

! KLaZn, relaxed, DFT PBE-GGA; values from VASP
&SYSTEM
  ibrav = 0, nat = 3, ntyp = 3
/
ATOMIC_SPECIES
K 39.10 K.upf
La 138.91 La.upf
Zn 65.41 Zn.upf
CELL_PARAMETERS angstrom
-3.521 1.206 0.939
1.403 -3.218 1.550
3.355 4.648 6.611
ATOMIC_POSITIONS angstrom
K 3.207 4.443 6.319
La 1.099 0.108 3.980
Zn 0.287 2.732 5.411
! Calculated density = 3.621 Mg/m³
! Space-group type = P3m1
! M_tot = 0.00 μB per formula unit
! Total DFT energy (no corrections) = -2.244 eV per atom

! KLaZn, relaxed, DFT PBE-GGA; values from VASP
&SYSTEM
  ibrav = 0, nat = 3, ntyp = 3
/
ATOMIC_SPECIES
K 39.10 K.upf
La 138.91 La.upf
Zn 65.41 Zn.upf
CELL_PARAMETERS angstrom
8.256 -0.013 0.014
7.379 3.704 0.011
0.878 0.209 3.711
ATOMIC_POSITIONS angstrom
K 1.275 0.302 3.612
La 5.089 1.203 2.659
Zn 11.026 2.603 1.176
! Calculated density = 3.552 Mg/m³
! Space-group type = I4mm
! M_tot = 0.16 μB per formula unit
! Total DFT energy (no corrections) = -2.362 eV per atom

! KLa2Zn2, relaxed, DFT PBE-GGA; values from VASP
&SYSTEM
  ibrav = 0, nat = 5, ntyp = 3
/
ATOMIC_SPECIES
La 138.91 La.upf
Zn 65.41 Zn.upf
K 39.10 K.upf
CELL_PARAMETERS angstrom
-3.761 3.320 -2.217
-2.182 -4.260 -2.678
-6.412 -1.453 1.919
ATOMIC_POSITIONS angstrom
La -8.450 -1.656 -1.713
La -3.904 -0.736 -1.264
Zn -6.572 0.699 -1.373
Zn -5.782 -3.091 -1.603
K 0.000 0.000 0.000
! Calculated density = 4.379 Mg/m³
! Space-group type = I4/mmm
! M_tot = 0.00 μB per formula unit
! Total DFT energy (no corrections) = -2.483 eV per atom
! Offset from the most stable computed form = 0.231 eV per atom

no.,calculated formation energy (kcal/mol of atoms)
1,15.5
2,10.9
3,6.4
4,4.4
5,1.6
6,5.0